Density functional theory data (PBE) for LaScZn after structural relaxation.

* DFT formation energy: -49 meV per atom
* ΔE to the lowest computed polymorph: 155 meV per atom
* E: -4.2266 eV/atom

Lattice parameters (Å, degrees): 4.968 5.819 6.002 78.11 89.61 65.05
Space group P1 (No. 1)
Inequivalent atoms, fractional coordinates:
La (0.000, 0.000, 0.000) (multiplicity 1)
La (0.134, 0.738, 0.577) (multiplicity 1)
Sc (0.443, 0.121, 0.566) (multiplicity 1)
Sc (0.772, 0.466, 0.355) (multiplicity 1)
Zn (0.313, 0.383, 0.100) (multiplicity 1)
Zn (0.699, 0.600, 0.863) (multiplicity 1)